No. 1
Density functional theory data (PBE-GGA) for a geometry-optimized NbZn2CoPd structure.

Calculated values
D(E_F) = 4.51 states/eV/f.u.
Final energy = -4.270 eV per atom
Crystal system = tetragonal
E_form = 0.713 eV per atom

Lattice parameters (Å, degrees): 4.4014 4.4014 4.5474 90.00 90.00 90.00
With the nearest neighbours (Å) after each atom.
Fractional coordinates of all 5 atoms:
Nb (0.0000, 0.0000, 0.0000)  4 Pd 3.11, 8 Zn 3.16
Zn (0.0000, 0.5000, 0.5000)  2 Co 2.20
Zn (0.5000, 0.0000, 0.5000)  2 Co 2.20
Co (0.5000, 0.5000, 0.5000)  4 Zn 2.20, 2 Pd 2.27
Pd (0.5000, 0.5000, 0.0000)  2 Co 2.27

No. 2
Density functional theory data (PBE-GGA) for a geometry-optimized TlGeBrF6 structure.

Calculated values
Uncorrected formation energy = -1.9004 eV per atom
Final energy = -4.110 eV per atom
Crystal system = triclinic

Lattice parameters (Å, degrees): 4.8089 5.4914 5.7206 96.61 91.16 99.75
With the nearest neighbours (Å) after each atom.
Fractional coordinates of all 9 atoms:
Tl (0.0000, 0.0000, 0.0000)  5 F 2.29-2.55
Ge (0.9430, 0.4391, 0.6494)  6 F 1.75-1.90
Br (0.4738, 0.9260, 0.2069)  2 Tl 2.66-2.80
F (0.0733, 0.3017, 0.3779)  1 Ge 1.82
F (0.1556, 0.7511, 0.6516)  1 Ge 1.84
F (0.2270, 0.3354, 0.8239)  1 Ge 1.88
F (0.6548, 0.5188, 0.5014)  1 Ge 1.75
F (0.7417, 0.1255, 0.7100)  1 Ge 1.90
F (0.8300, 0.5669, 0.9449)  1 Ge 1.88

No. 3
Density functional theory data (PBE-GGA) for a geometry-optimized AcNd5Dy2 structure.

Calculated values
D(E_F) = 11.36 states/eV/f.u.
Final energy = -4.621 eV per atom
Crystal system = orthorhombic
E_form = 0.023 eV per atom

Lattice parameters (Å, degrees): 7.3713 14.7477 5.1907 90.00 90.00 90.00
With the nearest neighbours (Å) after each atom.
Fractional coordinates of all 16 atoms:
Ac (0.0000, 0.0000, 0.0000)  8 Nd 3.69-3.72, 4 Dy 3.70
Ac (0.5000, 0.5000, 0.0000)  8 Nd 3.69-3.72, 4 Dy 3.70
Nd (0.0000, 0.5000, 0.0000)  6 Nd 3.65-3.68, 2 Ac 3.69, 4 Dy 3.69
Nd (0.0009, 0.2523, 0.0000)  7 Nd 3.64-3.69, 4 Dy 3.64-3.69, 1 Ac 3.72
Nd (0.2465, 0.6271, 0.5000)  4 Dy 3.62-3.75, 6 Nd 3.64-3.69, 2 Ac 3.71
Nd (0.2535, 0.1271, 0.5000)  4 Dy 3.62-3.75, 6 Nd 3.64-3.69, 2 Ac 3.71
Nd (0.4991, 0.7523, 0.0000)  7 Nd 3.64-3.69, 4 Dy 3.64-3.69, 1 Ac 3.72
Nd (0.5000, 0.0000, 0.0000)  6 Nd 3.65-3.68, 2 Ac 3.69, 4 Dy 3.69
Nd (0.5009, 0.2477, 0.0000)  7 Nd 3.64-3.69, 4 Dy 3.64-3.69, 1 Ac 3.72
Nd (0.7465, 0.8729, 0.5000)  4 Dy 3.62-3.75, 6 Nd 3.64-3.69, 2 Ac 3.71
Nd (0.7535, 0.3729, 0.5000)  4 Dy 3.62-3.75, 6 Nd 3.64-3.69, 2 Ac 3.71
Nd (0.9991, 0.7477, 0.0000)  7 Nd 3.64-3.69, 4 Dy 3.64-3.69, 1 Ac 3.72
Dy (0.2486, 0.3729, 0.5000)  10 Nd 3.62-3.75, 2 Ac 3.70
Dy (0.2514, 0.8729, 0.5000)  10 Nd 3.62-3.75, 2 Ac 3.70
Dy (0.7486, 0.1271, 0.5000)  10 Nd 3.62-3.75, 2 Ac 3.70
Dy (0.7514, 0.6271, 0.5000)  10 Nd 3.62-3.75, 2 Ac 3.70

No. 4
Density functional theory data (PBE-GGA) for a geometry-optimized TaGaRu structure.

Calculated values
D(E_F) = 1.47 states/eV/f.u.
Final energy = -8.370 eV per atom
Crystal system = tetragonal
E_form = -0.318 eV per atom

Lattice parameters (Å, degrees): 5.2975 5.2975 5.2975 145.85 145.85 49.07
With the nearest neighbours (Å) after each atom.
Fractional coordinates of all 3 atoms:
Ta (0.0000, 0.0000, 0.0000)  4 Ru 2.68, 4 Ga 2.82
Ga (0.6835, 0.6835, 0.0000)  4 Ru 2.67, 4 Ta 2.82
Ru (0.3403, 0.3403, 0.0000)  4 Ga 2.67, 4 Ta 2.68

No. 5
Density functional theory data (PBE-GGA) for a geometry-optimized GaCu2Rh4 structure.

Calculated values
D(E_F) = 8.89 states/eV/f.u.
Final energy = -5.707 eV per atom
Crystal system = tetragonal
E_form = 0.097 eV per atom

Lattice parameters (Å, degrees): 6.4197 6.4197 6.4197 109.76 109.76 108.89
With the nearest neighbours (Å) after each atom.
Fractional coordinates of all 14 atoms:
Ga (0.0000, 0.0000, 0.0000)  8 Rh 2.55-2.60
Ga (0.7500, 0.2500, 0.5000)  8 Rh 2.55-2.60
Cu (0.2487, 0.1250, 0.6237)  8 Rh 2.55-2.57
Cu (0.3750, 0.7513, 0.8763)  8 Rh 2.55-2.57
Cu (0.5013, 0.6250, 0.3763)  8 Rh 2.55-2.57
Cu (0.8750, 0.4987, 0.1237)  8 Rh 2.55-2.57
Rh (0.1252, 0.3783, 0.9156)  2 Ga 2.55-2.60, 4 Cu 2.55-2.57, 3 Rh 2.73-2.79
Rh (0.1283, 0.3752, 0.4156)  2 Ga 2.55-2.60, 4 Cu 2.55-2.57, 3 Rh 2.73-2.79
Rh (0.2874, 0.8717, 0.2470)  2 Ga 2.55-2.60, 4 Cu 2.55-2.57, 3 Rh 2.73-2.79
Rh (0.4626, 0.2096, 0.0844)  2 Ga 2.55-2.60, 4 Cu 2.55-2.57, 3 Rh 2.73-2.79
Rh (0.6217, 0.5374, 0.7470)  2 Ga 2.55-2.60, 4 Cu 2.55-2.57, 3 Rh 2.73-2.79
Rh (0.6248, 0.0404, 0.7530)  2 Ga 2.55-2.60, 4 Cu 2.55-2.57, 3 Rh 2.73-2.79
Rh (0.7904, 0.8748, 0.2530)  2 Ga 2.55-2.60, 4 Cu 2.55-2.57, 3 Rh 2.73-2.79
Rh (0.9596, 0.7126, 0.5844)  2 Ga 2.55-2.60, 4 Cu 2.55-2.57, 3 Rh 2.73-2.79

No. 6
Density functional theory data (PBE-GGA) for a geometry-optimized ZrTlRe2 structure.

Calculated values
D(E_F) = 3.64 states/eV/f.u.
Final energy = -8.805 eV per atom
Crystal system = tetragonal
E_form = 0.148 eV per atom

Lattice parameters (Å, degrees): 3.0507 3.0507 8.2127 90.00 90.00 90.00
With the nearest neighbours (Å) after each atom.
Fractional coordinates of all 4 atoms:
Zr (0.0000, 0.0000, 0.0000)  4 Re 2.97, 4 Zr 3.05, 4 Tl 3.29
Tl (0.5000, 0.5000, 0.6970)  4 Tl 3.05, 4 Re 3.11, 4 Zr 3.29
Re (0.0000, 0.0000, 0.4242)  4 Re 2.60
Re (0.5000, 0.5000, 0.2484)  4 Re 2.60

No. 7
Density functional theory data (PBE-GGA) for a geometry-optimized NaYC structure.

Calculated values
D(E_F) = 1.64 states/eV/f.u.
Final energy = -5.388 eV per atom
Crystal system = orthorhombic
E_form = 0.281 eV per atom

Lattice parameters (Å, degrees): 6.3689 6.3689 3.5258 90.00 90.00 112.85
With the nearest neighbours (Å) after each atom.
Fractional coordinates of all 6 atoms:
Na (0.2474, 0.2474, 0.0000)  2 C 2.65
Na (0.7526, 0.7526, 0.0000)  2 C 2.65
Y (0.2528, 0.7472, 0.5000)  4 C 2.49
Y (0.7472, 0.2528, 0.5000)  4 C 2.49
C (0.0000, 0.5000, 0.0000)  4 Y 2.49, 2 Na 2.65
C (0.5000, 0.0000, 0.0000)  4 Y 2.49, 2 Na 2.65

No. 8
Density functional theory data (PBE-GGA) for a geometry-optimized TmAlTc structure.

Calculated values
D(E_F) = 1.60 states/eV/f.u.
Final energy = -6.661 eV per atom
Crystal system = orthorhombic
E_form = -0.468 eV per atom

Lattice parameters (Å, degrees): 5.3762 5.3762 5.3762 120.24 118.36 91.22
With the nearest neighbours (Å) after each atom.
Fractional coordinates of all 6 atoms:
Tm (0.3664, 0.1164, 0.2500)  6 Tc 3.06-3.22, 6 Al 3.14-3.20, 4 Tm 3.26-3.35
Tm (0.6336, 0.8836, 0.7500)  6 Tc 3.06-3.22, 6 Al 3.14-3.20, 4 Tm 3.26-3.35
Al (0.0000, 0.5000, 0.5000)  4 Tc 2.69, 2 Al 2.75
Al (0.5000, 0.5000, 0.0000)  4 Tc 2.69, 2 Al 2.75
Tc (0.0000, 0.0000, 0.5000)  2 Tc 2.68, 4 Al 2.69
Tc (0.0000, 0.5000, 0.0000)  2 Tc 2.68, 4 Al 2.69

No. 9
Density functional theory data (PBE-GGA) for a geometry-optimized Ac3PmZn8 structure.

Calculated values
D(E_F) = 7.50 states/eV/f.u.
Final energy = -2.502 eV per atom
Crystal system = trigonal
E_form = -0.229 eV per atom

Lattice parameters (Å, degrees): 5.8969 5.8969 9.0193 90.00 90.00 120.00
With the nearest neighbours (Å) after each atom.
Fractional coordinates of all 12 atoms:
Ac (0.0000, 0.0000, 0.0000)  12 Zn 3.29-3.47, 4 Ac 3.56-3.63
Ac (0.0000, 0.0000, 0.4029)  12 Zn 3.20-3.46, 3 Pm 3.52
Ac (0.3333, 0.6667, 0.8855)  12 Zn 3.33-3.47, 1 Pm 3.45, 3 Ac 3.56
Pm (0.3333, 0.6667, 0.5031)  12 Zn 3.20-3.45, 4 Ac 3.45-3.52
Zn (0.9996, 0.4998, 0.2030)  6 Zn 2.76-2.95
Zn (0.3549, 0.1774, 0.6953)  4 Zn 2.76-2.85
Zn (0.5002, 0.0004, 0.2030)  6 Zn 2.76-2.95
Zn (0.5002, 0.4998, 0.2030)  6 Zn 2.76-2.95
Zn (0.6667, 0.3333, 0.4444)  6 Zn 2.76-2.77
Zn (0.6667, 0.3333, 0.9579)  6 Zn 2.79-2.85
Zn (0.8226, 0.1774, 0.6953)  4 Zn 2.76-2.85
Zn (0.8226, 0.6451, 0.6953)  4 Zn 2.76-2.85

No. 10
Density functional theory data (PBE-GGA) for a geometry-optimized Sm2DyRu2 structure.

Calculated values
D(E_F) = 3.87 states/eV/f.u.
Final energy = -6.760 eV per atom
Crystal system = orthorhombic
E_form = -0.241 eV per atom

Lattice parameters (Å, degrees): 5.8276 5.8276 5.8276 136.20 116.02 80.76
With the nearest neighbours (Å) after each atom.
Fractional coordinates of all 5 atoms:
Sm (0.1988, 0.1988, 0.0000)  6 Ru 3.10-3.20, 2 Dy 3.45
Sm (0.8012, 0.8012, 0.0000)  6 Ru 3.10-3.20, 2 Dy 3.45
Dy (0.5000, 0.0000, 0.5000)  4 Ru 2.79
Ru (0.2168, 0.5000, 0.7168)  1 Ru 2.68, 2 Dy 2.79
Ru (0.7832, 0.5000, 0.2832)  1 Ru 2.68, 2 Dy 2.79

No. 11
Density functional theory data (PBE-GGA) for a geometry-optimized PmDy3Mg structure.

Calculated values
D(E_F) = 6.66 states/eV/f.u.
Final energy = -4.047 eV per atom
Crystal system = monoclinic
E_form = -0.016 eV per atom

Lattice parameters (Å, degrees): 6.7420 6.7420 12.7977 93.15 93.15 31.82
With the nearest neighbours (Å) after each atom.
Fractional coordinates of all 10 atoms:
Pm (0.2344, 0.2344, 0.2582)  2 Mg 3.35, 8 Dy 3.53-3.72, 2 Pm 3.70
Pm (0.7656, 0.7656, 0.7418)  2 Mg 3.35, 8 Dy 3.53-3.72, 2 Pm 3.70
Dy (0.0367, 0.0367, 0.6872)  2 Mg 3.32, 7 Dy 3.49-3.70, 3 Pm 3.53-3.62
Dy (0.1496, 0.1496, 0.9421)  4 Mg 3.26-3.32, 3 Dy 3.46-3.50, 2 Pm 3.56
Dy (0.3663, 0.3663, 0.5237)  9 Dy 3.49-3.70, 3 Pm 3.65-3.72
Dy (0.6337, 0.6337, 0.4763)  9 Dy 3.49-3.70, 3 Pm 3.65-3.72
Dy (0.8504, 0.8504, 0.0579)  4 Mg 3.26-3.32, 3 Dy 3.46-3.50, 2 Pm 3.56
Dy (0.9633, 0.9633, 0.3128)  2 Mg 3.32, 7 Dy 3.49-3.70, 3 Pm 3.53-3.62
Mg (0.4437, 0.4437, 0.8755)  6 Dy 3.26-3.32, 2 Pm 3.35, 1 Mg 3.43
Mg (0.5563, 0.5563, 0.1245)  6 Dy 3.26-3.32, 2 Pm 3.35, 1 Mg 3.43

Question: final energy of number 7 (NaYC)?
Answer: -5.388 eV per atom